[1]
Here is a relaxed Zn2HgSb crystal from Alexandria via LeMat-Bulk. Energies are from PBE.

Computed properties:
- Offset from the most stable computed form: 4.1 kJ per mole of atoms
- Formation energy (no corrections): 0.14 eV/atom
- SG: Pmmm
- Electronic total energy: -1.603 eV/atom

Cell: 3.338 4.147 6.477 Å, 90.00 90.00 90.00°
Element x y z (fractional)
1 Zn 0.000 0.000 0.206
2 Zn 0.000 0.000 0.794
3 Hg 0.500 0.500 0.000
4 Sb 0.000 0.500 0.500

[2]
Here is a relaxed Zn2HgSb2 crystal from Alexandria via LeMat-Bulk. Energies are from PBE.

Computed properties:
- Offset from the most stable computed form: 8.8 kJ per mole of atoms
- Formation energy (no corrections): 0.17 eV/atom
- SG: P4/mbm
- Electronic total energy: -2.053 eV/atom

Cell: 8.483 8.483 3.294 Å, 90.00 90.00 90.00°
Element x y z (fractional)
1 Zn 0.139 0.361 0.000
2 Zn 0.361 0.861 0.000
3 Zn 0.639 0.139 0.000
4 Zn 0.861 0.639 0.000
5 Hg 0.000 0.000 0.500
6 Hg 0.500 0.500 0.500
7 Sb 0.157 0.657 0.500
8 Sb 0.343 0.157 0.500
9 Sb 0.657 0.843 0.500
10 Sb 0.843 0.343 0.500

[3]
Here is a relaxed ZnHgSb3 crystal from Alexandria via LeMat-Bulk. Energies are from PBE.

Computed properties:
- Offset from the most stable computed form: 0.0 kJ per mole of atoms
- Formation energy (no corrections): 0.53 eV/atom
- SG: Pm-3m
- Electronic total energy: -2.254 eV/atom

Cell: 5.291 5.291 5.291 Å, 90.00 90.00 90.00°
Element x y z (fractional)
1 Zn 0.000 0.000 0.000
2 Hg 0.500 0.500 0.500
3 Sb 0.000 0.000 0.500
4 Sb 0.000 0.500 0.000
5 Sb 0.500 0.000 0.000

[4]
Here is a relaxed Zn2HgSb crystal from Alexandria via LeMat-Bulk. Energies are from PBE.

Computed properties:
- Offset from the most stable computed form: 6.5 kJ per mole of atoms
- Formation energy (no corrections): 0.17 eV/atom
- SG: P4mm
- Electronic total energy: -1.578 eV/atom

Cell: 3.121 3.121 8.940 Å, 90.00 90.00 90.00°
Element x y z (fractional)
1 Zn 0.000 0.000 0.000
2 Zn 0.500 0.500 0.175
3 Hg 0.000 0.000 0.419
4 Sb 0.500 0.500 0.752

[5]
Here is a relaxed Zn2HgSb2 crystal from Alexandria via LeMat-Bulk. Energies are from PBE.

Computed properties:
- Offset from the most stable computed form: 6.9 kJ per mole of atoms
- Formation energy (no corrections): 0.15 eV/atom
- SG: I4/mmm
- Electronic total energy: -2.072 eV/atom

Cell: 4.518 4.518 12.343 Å, 90.00 90.00 90.00°
Element x y z (fractional)
1 Zn 0.000 0.000 0.098
2 Zn 0.000 0.000 0.902
3 Zn 0.500 0.500 0.402
4 Zn 0.500 0.500 0.598
5 Hg 0.000 0.000 0.500
6 Hg 0.500 0.500 0.000
7 Sb 0.000 0.500 0.250
8 Sb 0.000 0.500 0.750
9 Sb 0.500 0.000 0.250
10 Sb 0.500 0.000 0.750

[6]
Here is a relaxed Zn2HgSb crystal from Alexandria via LeMat-Bulk. Energies are from PBE.

Computed properties:
- Offset from the most stable computed form: 1.2 kJ per mole of atoms
- Formation energy (no corrections): 0.11 eV/atom
- SG: P4mm
- Electronic total energy: -1.633 eV/atom

Cell: 4.021 4.021 5.686 Å, 90.00 90.00 90.00°
Element x y z (fractional)
1 Zn 0.000 0.000 0.000
2 Zn 0.500 0.500 0.499
3 Hg 0.000 0.000 0.500
4 Sb 0.500 0.500 0.999

- What is the formation energy (no corrections) in the third record?
  0.53 eV/atom

What did the second record say?
Here is a relaxed Zn2HgSb2 crystal from Alexandria via LeMat-Bulk. Energies are from PBE.

Computed properties:
- Offset from the most stable computed form: 8.8 kJ per mole of atoms
- Formation energy (no corrections): 0.17 eV/atom
- SG: P4/mbm
- Electronic total energy: -2.053 eV/atom

Cell: 8.483 8.483 3.294 Å, 90.00 90.00 90.00°
Element x y z (fractional)
1 Zn 0.139 0.361 0.000
2 Zn 0.361 0.861 0.000
3 Zn 0.639 0.139 0.000
4 Zn 0.861 0.639 0.000
5 Hg 0.000 0.000 0.500
6 Hg 0.500 0.500 0.500
7 Sb 0.157 0.657 0.500
8 Sb 0.343 0.157 0.500
9 Sb 0.657 0.843 0.500
10 Sb 0.843 0.343 0.500